Arrangement a

! LiIr2Os PBEsol relaxed; values from VASP
! Magnetization, μB per formula unit: 0.001
&SYSTEM
  ibrav = 0, nat = 4, ntyp = 3
/
ATOMIC_SPECIES
Os 190.23 Os.upf
Ir 192.22 Ir.upf
Li 6.94 Li.upf
CELL_PARAMETERS angstrom
-1.953 -1.844 -0.626
1.846 -0.601 -3.990
2.532 -3.245 1.660
ATOMIC_POSITIONS crystal
Os 0.500 0.000 0.000
Ir 0.000 0.500 0.000
Ir 0.000 0.000 0.500
Li 0.500 0.500 0.500

Arrangement b

! LiIr2Os PBEsol relaxed; values from VASP
! Magnetization, μB per formula unit: 0.003
&SYSTEM
  ibrav = 0, nat = 4, ntyp = 3
/
ATOMIC_SPECIES
Os 190.23 Os.upf
Ir 192.22 Ir.upf
Li 6.94 Li.upf
CELL_PARAMETERS angstrom
4.232 0.000 0.000
2.116 3.665 0.000
2.116 1.222 3.455
ATOMIC_POSITIONS crystal
Os 0.250 0.250 0.250
Ir 0.000 0.000 0.000
Ir 0.750 0.750 0.750
Li 0.500 0.500 0.500

Arrangement c

! LiIr2Os PBEsol relaxed; values from VASP
! Magnetization, μB per formula unit: 0.000
&SYSTEM
  ibrav = 0, nat = 4, ntyp = 3
/
ATOMIC_SPECIES
Li 6.94 Li.upf
Ir 192.22 Ir.upf
Os 190.23 Os.upf
CELL_PARAMETERS angstrom
-1.247 -2.269 -1.128
-1.074 -1.375 3.955
-2.479 3.945 -1.663
ATOMIC_POSITIONS crystal
Li 0.502 0.502 0.003
Ir 0.227 0.727 0.453
Ir 0.003 0.003 0.006
Os 0.769 0.269 0.537

The most stable arrangement is arrangement c, and the next structure is 0.041 eV/atom less stable.

Arrangement a

! LiIr2Os PBEsol relaxed; values from VASP
! Magnetization, μB per formula unit: 0.000
&SYSTEM
  ibrav = 0, nat = 4, ntyp = 3
/
ATOMIC_SPECIES
Ir 192.22 Ir.upf
Li 6.94 Li.upf
Os 190.23 Os.upf
CELL_PARAMETERS angstrom
-0.182 0.455 2.614
4.269 -1.500 -0.795
0.822 4.515 -0.729
ATOMIC_POSITIONS crystal
Ir 0.757 0.514 0.749
Ir 0.243 0.486 0.251
Li 0.000 0.000 0.500
Os 0.500 0.000 0.000

Arrangement b

! LiIr2Os PBEsol relaxed; values from VASP
! Magnetization, μB per formula unit: 0.000
&SYSTEM
  ibrav = 0, nat = 4, ntyp = 3
/
ATOMIC_SPECIES
Os 190.23 Os.upf
Li 6.94 Li.upf
Ir 192.22 Ir.upf
CELL_PARAMETERS angstrom
2.657 0.000 -0.036
0.000 3.981 0.000
-1.098 0.000 4.986
ATOMIC_POSITIONS crystal
Os 0.500 0.500 0.500
Li 0.500 0.500 0.000
Ir 0.112 0.000 0.761
Ir 0.888 0.000 0.239

The most stable arrangement is arrangement b, and the next structure is 0.010 eV/atom less stable.

Arrangement a

! LiIrOs2 PBEsol relaxed; values from VASP
! Magnetization, μB per formula unit: 0.000
&SYSTEM
  ibrav = 0, nat = 4, ntyp = 3
/
ATOMIC_SPECIES
Li 6.94 Li.upf
Os 190.23 Os.upf
Ir 192.22 Ir.upf
CELL_PARAMETERS angstrom
2.707 0.000 0.000
0.000 4.480 0.000
0.000 0.000 4.480
ATOMIC_POSITIONS crystal
Li 0.500 0.000 0.000
Os 0.000 0.500 0.000
Os 0.000 0.000 0.500
Ir 0.500 0.500 0.500

Arrangement b

! LiIrOs2 PBEsol relaxed; values from VASP
! Magnetization, μB per formula unit: 0.002
&SYSTEM
  ibrav = 0, nat = 4, ntyp = 3
/
ATOMIC_SPECIES
Li 6.94 Li.upf
Os 190.23 Os.upf
Ir 192.22 Ir.upf
CELL_PARAMETERS angstrom
2.648 -0.002 0.000
-1.242 2.338 0.000
0.000 0.000 9.094
ATOMIC_POSITIONS crystal
Li 0.500 0.500 0.254
Os 0.000 0.000 0.999
Os 0.500 0.500 0.752
Ir 0.000 0.000 0.495

The most stable arrangement is arrangement b, and the next structure is 0.097 eV/atom less stable.

Arrangement a

! LiPIr3 PBEsol relaxed; values from VASP
! Magnetization, μB per formula unit: 0.000
&SYSTEM
  ibrav = 0, nat = 5, ntyp = 3
/
ATOMIC_SPECIES
P 30.97 P.upf
Li 6.94 Li.upf
Ir 192.22 Ir.upf
CELL_PARAMETERS angstrom
-1.195 -1.709 -3.815
3.772 -2.152 -0.218
-1.802 -3.370 2.074
ATOMIC_POSITIONS crystal
P 0.000 0.000 0.000
Li 0.500 0.500 0.500
Ir 0.000 0.500 0.000
Ir 0.500 0.000 0.000
Ir 0.000 0.000 0.500

Arrangement b

! LiPIr3 PBEsol relaxed; values from VASP
! Magnetization, μB per formula unit: 0.000
&SYSTEM
  ibrav = 0, nat = 5, ntyp = 3
/
ATOMIC_SPECIES
P 30.97 P.upf
Li 6.94 Li.upf
Ir 192.22 Ir.upf
CELL_PARAMETERS angstrom
4.072 0.000 0.000
0.000 4.072 0.000
0.000 0.000 4.072
ATOMIC_POSITIONS crystal
P 0.500 0.500 0.500
Li 0.000 0.000 0.000
Ir 0.000 0.500 0.000
Ir 0.000 0.000 0.500
Ir 0.500 0.000 0.000

The most stable arrangement is arrangement a, and the next structure is 0.751 eV/atom less stable.

Arrangement a

! LiIrPb2 PBEsol relaxed; values from VASP
! Magnetization, μB per formula unit: 0.000
&SYSTEM
  ibrav = 0, nat = 4, ntyp = 3
/
ATOMIC_SPECIES
Ir 192.22 Ir.upf
Pb 207.20 Pb.upf
Li 6.94 Li.upf
CELL_PARAMETERS angstrom
-1.205 3.484 0.541
-3.898 -1.128 -1.423
-0.747 -2.930 4.369
ATOMIC_POSITIONS crystal
Ir 0.694 0.000 0.389
Pb 0.271 0.500 0.541
Pb 0.985 0.000 0.970
Li 0.552 0.500 0.103

Arrangement b

! LiIrPb2 PBEsol relaxed; values from VASP
! Magnetization, μB per formula unit: 0.000
&SYSTEM
  ibrav = 0, nat = 4, ntyp = 3
/
ATOMIC_SPECIES
Ir 192.22 Ir.upf
Pb 207.20 Pb.upf
Li 6.94 Li.upf
CELL_PARAMETERS angstrom
4.876 0.000 0.000
2.438 4.223 0.000
2.438 1.408 3.981
ATOMIC_POSITIONS crystal
Ir 0.500 0.500 0.500
Pb 0.000 0.000 0.000
Pb 0.750 0.750 0.750
Li 0.250 0.250 0.250

Arrangement c

! LiIrPb2 PBEsol relaxed; values from VASP
! Magnetization, μB per formula unit: 0.013
&SYSTEM
  ibrav = 0, nat = 4, ntyp = 3
/
ATOMIC_SPECIES
Pb 207.20 Pb.upf
Ir 192.22 Ir.upf
Li 6.94 Li.upf
CELL_PARAMETERS angstrom
3.402 0.000 0.000
1.701 2.946 0.000
1.701 0.982 8.626
ATOMIC_POSITIONS crystal
Pb 0.243 0.243 0.271
Pb 0.757 0.757 0.729
Ir 0.500 0.500 0.500
Li 0.000 0.000 0.000

The most stable arrangement is arrangement a, and the next structure is 0.092 eV/atom less stable.

Arrangement a

! Li2IrPt PBEsol relaxed; values from VASP
! Magnetization, μB per formula unit: 0.000
&SYSTEM
  ibrav = 0, nat = 4, ntyp = 3
/
ATOMIC_SPECIES
Li 6.94 Li.upf
Pt 195.08 Pt.upf
Ir 192.22 Ir.upf
CELL_PARAMETERS angstrom
2.615 0.000 0.000
0.000 4.704 0.013
-1.308 -2.284 4.342
ATOMIC_POSITIONS crystal
Li 0.994 0.089 0.987
Li 0.758 0.161 0.516
Pt 0.505 0.610 0.010
Ir 0.244 0.640 0.487

Arrangement b

! Li2IrPt PBEsol relaxed; values from VASP
! Magnetization, μB per formula unit: 0.001
&SYSTEM
  ibrav = 0, nat = 4, ntyp = 3
/
ATOMIC_SPECIES
Ir 192.22 Ir.upf
Li 6.94 Li.upf
Pt 195.08 Pt.upf
CELL_PARAMETERS angstrom
-2.986 1.783 1.162
-1.323 -3.123 1.393
3.988 1.457 2.228
ATOMIC_POSITIONS crystal
Ir 0.000 0.000 0.000
Li 0.750 0.250 0.500
Li 0.250 0.750 0.500
Pt 0.500 0.500 0.000

Arrangement c

! Li2IrPt PBEsol relaxed; values from VASP
! Magnetization, μB per formula unit: 0.000
&SYSTEM
  ibrav = 0, nat = 4, ntyp = 3
/
ATOMIC_SPECIES
Li 6.94 Li.upf
Ir 192.22 Ir.upf
Pt 195.08 Pt.upf
CELL_PARAMETERS angstrom
2.613 0.000 0.002
0.000 4.317 0.000
-0.139 0.000 4.731
ATOMIC_POSITIONS crystal
Li 0.732 0.000 0.745
Li 0.268 0.000 0.255
Ir 0.000 0.500 0.500
Pt 0.500 0.500 0.000

Arrangement d

! Li2IrPt PBEsol relaxed; values from VASP
! Magnetization, μB per formula unit: 0.000
&SYSTEM
  ibrav = 0, nat = 4, ntyp = 3
/
ATOMIC_SPECIES
Ir 192.22 Ir.upf
Pt 195.08 Pt.upf
Li 6.94 Li.upf
CELL_PARAMETERS angstrom
-2.181 0.868 1.216
-0.292 -1.419 -2.211
-0.272 -7.274 4.704
ATOMIC_POSITIONS crystal
Ir 0.500 0.500 0.000
Pt 0.500 0.500 0.500
Li 0.000 0.000 0.248
Li 0.000 0.000 0.752

The most stable arrangement is arrangement d, and the next structure is 0.007 eV/atom less stable.

Arrangement a

! LiReIr PBEsol relaxed; values from VASP
! Magnetization, μB per formula unit: 0.000
&SYSTEM
  ibrav = 0, nat = 3, ntyp = 3
/
ATOMIC_SPECIES
Li 6.94 Li.upf
Ir 192.22 Ir.upf
Re 186.21 Re.upf
CELL_PARAMETERS angstrom
2.697 0.000 0.000
0.000 3.852 0.000
-1.348 -1.926 3.831
ATOMIC_POSITIONS crystal
Li 0.665 0.665 0.330
Ir 0.995 0.995 0.991
Re 0.340 0.340 0.679

Arrangement b

! LiReIr PBEsol relaxed; values from VASP
! Magnetization, μB per formula unit: 0.000
&SYSTEM
  ibrav = 0, nat = 3, ntyp = 3
/
ATOMIC_SPECIES
Li 6.94 Li.upf
Ir 192.22 Ir.upf
Re 186.21 Re.upf
CELL_PARAMETERS angstrom
-3.950 -0.890 -0.136
-1.824 -1.620 3.235
-2.646 2.195 2.144
ATOMIC_POSITIONS crystal
Li 0.000 0.000 0.000
Ir 0.250 0.250 0.250
Re 0.500 0.500 0.500

The most stable arrangement is arrangement a, and the next structure is 0.315 eV/atom less stable.

Arrangement a

! LiIrRu2 PBEsol relaxed; values from VASP
! Magnetization, μB per formula unit: 0.002
&SYSTEM
  ibrav = 0, nat = 4, ntyp = 3
/
ATOMIC_SPECIES
Li 6.94 Li.upf
Ru 101.07 Ru.upf
Ir 192.22 Ir.upf
CELL_PARAMETERS angstrom
-0.018 1.748 1.961
-2.043 -0.048 -1.651
-4.194 -6.054 5.362
ATOMIC_POSITIONS crystal
Li 0.500 0.500 0.000
Ru 0.000 0.000 0.250
Ru 0.000 0.000 0.750
Ir 0.500 0.500 0.500

Arrangement b

! LiIrRu2 PBEsol relaxed; values from VASP
! Magnetization, μB per formula unit: 0.000
&SYSTEM
  ibrav = 0, nat = 4, ntyp = 3
/
ATOMIC_SPECIES
Li 6.94 Li.upf
Ir 192.22 Ir.upf
Ru 101.07 Ru.upf
CELL_PARAMETERS angstrom
-0.978 -2.007 1.761
2.444 -2.890 -1.937
2.351 3.277 2.745
ATOMIC_POSITIONS crystal
Li 0.000 0.500 0.000
Ir 0.500 0.000 0.000
Ru 0.266 0.266 0.532
Ru 0.734 0.734 0.468

Arrangement c

! LiIrRu2 PBEsol relaxed; values from VASP
! Magnetization, μB per formula unit: 0.001
&SYSTEM
  ibrav = 0, nat = 4, ntyp = 3
/
ATOMIC_SPECIES
Ir 192.22 Ir.upf
Ru 101.07 Ru.upf
Li 6.94 Li.upf
CELL_PARAMETERS angstrom
-2.840 -2.842 1.225
0.196 -1.635 3.864
-2.896 1.025 2.864
ATOMIC_POSITIONS crystal
Ir 0.000 0.000 0.000
Ru 0.750 0.750 0.750
Ru 0.250 0.250 0.250
Li 0.500 0.500 0.500

The most stable arrangement is arrangement b, and the next structure is 0.130 eV/atom less stable.

Arrangement a

! LiIrRu2 PBEsol relaxed; values from VASP
! Magnetization, μB per formula unit: 0.000
&SYSTEM
  ibrav = 0, nat = 4, ntyp = 3
/
ATOMIC_SPECIES
Li 6.94 Li.upf
Ir 192.22 Ir.upf
Ru 101.07 Ru.upf
CELL_PARAMETERS angstrom
2.635 0.000 -0.034
0.000 3.963 0.000
-1.248 0.000 4.925
ATOMIC_POSITIONS crystal
Li 0.673 0.500 0.735
Ir 0.078 0.000 0.530
Ru 0.432 0.500 0.235
Ru 0.817 0.000 0.001

Arrangement b

! LiIrRu2 PBEsol relaxed; values from VASP
! Magnetization, μB per formula unit: 0.000
&SYSTEM
  ibrav = 0, nat = 4, ntyp = 3
/
ATOMIC_SPECIES
Li 6.94 Li.upf
Ru 101.07 Ru.upf
Ir 192.22 Ir.upf
CELL_PARAMETERS angstrom
-2.370 -0.238 1.348
0.928 -2.260 1.234
2.496 3.786 5.058
ATOMIC_POSITIONS crystal
Li 0.500 0.500 0.749
Ru 0.000 0.000 0.991
Ru 0.500 0.500 0.246
Ir 0.000 0.000 0.515

The most stable arrangement is arrangement a, and the next structure is 0.042 eV/atom less stable.

Arrangement a

! LiSb2Ir PBEsol relaxed; values from VASP
! Magnetization, μB per formula unit: 0.000
&SYSTEM
  ibrav = 0, nat = 4, ntyp = 3
/
ATOMIC_SPECIES
Sb 121.76 Sb.upf
Li 6.94 Li.upf
Ir 192.22 Ir.upf
CELL_PARAMETERS angstrom
3.680 0.000 0.000
0.000 4.401 0.000
0.000 0.000 4.509
ATOMIC_POSITIONS crystal
Sb 0.000 0.500 0.500
Sb 0.000 0.000 0.000
Li 0.500 0.000 0.500
Ir 0.500 0.500 0.000

Arrangement b

! LiSb2Ir PBEsol relaxed; values from VASP
! Magnetization, μB per formula unit: 0.000
&SYSTEM
  ibrav = 0, nat = 4, ntyp = 3
/
ATOMIC_SPECIES
Sb 121.76 Sb.upf
Ir 192.22 Ir.upf
Li 6.94 Li.upf
CELL_PARAMETERS angstrom
-2.926 -2.419 -0.450
2.146 -0.279 3.787
-3.626 4.208 0.956
ATOMIC_POSITIONS crystal
Sb 0.272 0.544 0.289
Sb 0.728 0.456 0.711
Ir 0.000 0.000 0.500
Li 0.500 0.000 0.000

The most stable arrangement is arrangement b, and the next structure is 0.154 eV/atom less stable.

Arrangement a

! LiSi2Ir PBEsol relaxed; values from VASP
! Magnetization, μB per formula unit: 0.000
&SYSTEM
  ibrav = 0, nat = 8, ntyp = 3
/
ATOMIC_SPECIES
Si 28.09 Si.upf
Ir 192.22 Ir.upf
Li 6.94 Li.upf
CELL_PARAMETERS angstrom
3.649 0.000 0.000
0.000 3.649 0.000
-1.825 -1.825 8.256
ATOMIC_POSITIONS crystal
Si 0.125 0.145 0.750
Si 0.395 0.875 0.250
Si 0.855 0.375 0.250
Si 0.625 0.605 0.750
Ir 0.250 0.750 0.500
Ir 0.000 0.000 0.000
Li 0.500 0.500 0.000
Li 0.750 0.250 0.500

Arrangement b

! LiSi2Ir PBEsol relaxed; values from VASP
! Magnetization, μB per formula unit: 0.000
&SYSTEM
  ibrav = 0, nat = 4, ntyp = 3
/
ATOMIC_SPECIES
Si 28.09 Si.upf
Ir 192.22 Ir.upf
Li 6.94 Li.upf
CELL_PARAMETERS angstrom
2.885 0.000 0.000
0.000 3.502 0.000
0.000 0.000 5.015
ATOMIC_POSITIONS crystal
Si 0.500 0.500 0.266
Si 0.000 0.000 0.987
Ir 0.000 0.000 0.485
Li 0.500 0.500 0.763

Arrangement c

! LiSi2Ir PBEsol relaxed; values from VASP
! Magnetization, μB per formula unit: 0.000
&SYSTEM
  ibrav = 0, nat = 4, ntyp = 3
/
ATOMIC_SPECIES
Li 6.94 Li.upf
Si 28.09 Si.upf
Ir 192.22 Ir.upf
CELL_PARAMETERS angstrom
4.150 0.000 0.000
2.075 3.594 0.000
2.075 1.198 3.388
ATOMIC_POSITIONS crystal
Li 0.000 0.000 0.000
Si 0.750 0.750 0.750
Si 0.250 0.250 0.250
Ir 0.500 0.500 0.500

The most stable arrangement is arrangement c, and the next structure is 0.169 eV/atom less stable.

Arrangement a

! LiTaIr2 PBEsol relaxed; values from VASP
! Magnetization, μB per formula unit: 0.000
&SYSTEM
  ibrav = 0, nat = 4, ntyp = 3
/
ATOMIC_SPECIES
Li 6.94 Li.upf
Ta 180.95 Ta.upf
Ir 192.22 Ir.upf
CELL_PARAMETERS angstrom
4.334 0.000 0.000
2.167 3.753 0.000
2.167 1.251 3.538
ATOMIC_POSITIONS crystal
Li 0.500 0.500 0.500
Ta 0.250 0.250 0.250
Ir 0.000 0.000 0.000
Ir 0.750 0.750 0.750

Arrangement b

! LiTaIr2 PBEsol relaxed; values from VASP
! Magnetization, μB per formula unit: 0.000
&SYSTEM
  ibrav = 0, nat = 4, ntyp = 3
/
ATOMIC_SPECIES
Li 6.94 Li.upf
Ir 192.22 Ir.upf
Ta 180.95 Ta.upf
CELL_PARAMETERS angstrom
-0.355 -2.606 0.762
0.300 -2.015 -1.830
9.053 -2.147 1.798
ATOMIC_POSITIONS crystal
Li 0.493 0.493 0.521
Ir 0.003 0.003 0.992
Ir 0.749 0.749 0.752
Ta 0.255 0.255 0.234

The most stable arrangement is arrangement a, and the next structure is 0.067 eV/atom less stable.